The following is a DFT calculation (GGA-PBE) of ZrAl2Te after structural relaxation.

Lattice parameters (Å, degrees): 3.7315 3.7315 5.9662 90.00 90.00 90.00
Atoms (fractional coordinates):
Te  0.0000  0.0000  0.5020
Al  0.0000  0.0000  0.0091
Al  0.5000  0.5000  0.2297
Zr  0.5000  0.5000  0.7592

Calculated values
final energy	-5.06	eV/atom
uncorrected formation energy	-271	meV/atom

***

The following is a DFT calculation (GGA-PBE) of Ce2PmRh after structural relaxation.

Lattice parameters (Å, degrees): 3.7879 3.7879 9.5550 78.57 78.57 60.00
Site moments in Bohr magnetons follow the coordinates.
Atoms (fractional coordinates):
Rh  0.0000  0.0000  0.0000  -0.05
Ce  0.2710  0.2710  0.1870  0.55
Ce  0.7290  0.7290  0.8130  0.55
Pm  0.5000  0.5000  0.5000  0.02

Calculated values
final energy	-6.24	eV/atom
energy above the most stable polymorph in this dataset	0.127	eV per atom
DFT formation energy	-0.251	eV per atom

***

The following is a DFT calculation (GGA-PBE) of CaY2In2 after structural relaxation.

Lattice parameters (Å, degrees): 9.1978 9.1978 3.4922 90.00 90.00 90.00
Atoms (fractional coordinates):
Y  0.3732  0.8732  0.0000
Y  0.8732  0.6268  0.0000
Y  0.6268  0.1268  0.0000
Y  0.1268  0.3732  0.0000
Ca  0.0000  0.0000  0.0000
Ca  0.5000  0.5000  0.0000
In  0.1739  0.6739  0.5000
In  0.6739  0.8261  0.5000
In  0.8261  0.3261  0.5000
In  0.3261  0.1739  0.5000

Calculated values
final energy	-4.41	eV/atom
energy above the most stable polymorph in this dataset	0.075	eV per atom
DFT formation energy	-0.327	eV per atom

***

The following is a DFT calculation (GGA-PBE) of CsNa2Hg4 after structural relaxation.

Lattice parameters (Å, degrees): 4.7974 4.6648 11.3807 101.83 102.17 90.00
Atoms (fractional coordinates):
Cs  0.5000  0.0000  0.0000
Na  0.8102  0.8102  0.6204
Na  0.1898  0.1898  0.3796
Hg  0.6682  0.6682  0.3363
Hg  0.3318  0.3318  0.6637
Hg  0.0814  0.5814  0.1628
Hg  0.9186  0.4186  0.8372

Calculated values
final energy	-0.89	eV/atom
DFT formation energy	-0.217	eV per atom

***

The following is a DFT calculation (GGA-PBE) of LaTh2Zr after structural relaxation.

Lattice parameters (Å, degrees): 5.5434 5.5434 5.5434 60.00 60.00 60.00
Atoms (fractional coordinates):
Zr  0.5000  0.5000  0.5000
Th  0.2500  0.2500  0.2500
Th  0.7500  0.7500  0.7500
La  0.0000  0.0000  0.0000

Calculated values
final energy	-6.90	eV/atom
energy above the most stable polymorph in this dataset	0.088	eV per atom
DFT formation energy	0.181	eV per atom

***

The following is a DFT calculation (GGA-PBE) of Mg2NpO5 after structural relaxation.

Lattice parameters (Å, degrees): 7.8769 6.4756 8.7543 90.00 90.00 90.00
Site moments in Bohr magnetons follow the coordinates.
Atoms (fractional coordinates):
Mg  0.5895  0.5000  0.8668  0.00
Mg  0.4105  0.5000  0.1332  0.00
Mg  0.0895  0.5000  0.6332  0.00
Mg  0.4105  0.0000  0.1332  0.00
Mg  0.9105  0.5000  0.3668  0.00
Mg  0.5895  0.0000  0.8668  0.00
Mg  0.9105  0.0000  0.3668  0.00
Mg  0.0895  0.0000  0.6332  0.00
Np  0.5000  0.2500  0.5000  1.21
Np  0.5000  0.7500  0.5000  1.21
Np  0.0000  0.7500  0.0000  1.21
Np  0.0000  0.2500  0.0000  1.21
O  0.0000  0.2500  0.5000  -0.02
O  0.0000  0.7500  0.5000  -0.02
O  0.5000  0.7500  0.0000  -0.02
O  0.5000  0.2500  0.0000  -0.02
O  0.3431  0.0000  0.5730  -0.05
O  0.6569  0.0000  0.4270  -0.05
O  0.8431  0.0000  0.9270  -0.05
O  0.6569  0.5000  0.4270  -0.05
O  0.1569  0.0000  0.0730  -0.05
O  0.3431  0.5000  0.5730  -0.05
O  0.1569  0.5000  0.0730  -0.05
O  0.8431  0.5000  0.9270  -0.05
O  0.1030  0.2500  0.7975  -0.05
O  0.8970  0.7500  0.2025  -0.05
O  0.6030  0.7500  0.7025  -0.05
O  0.3970  0.2500  0.2975  -0.05
O  0.6029  0.2500  0.7025  -0.05
O  0.3971  0.7500  0.2975  -0.05
O  0.1029  0.7500  0.7975  -0.05
O  0.8971  0.2500  0.2025  -0.05

Calculated values
final energy	-7.69	eV/atom
uncorrected formation energy	-2576	meV/atom